Ac4La2Y3: optimized geometry, PBE.

Results
volume: 349 Å³/cell
total magnetic moment: 0.00 μB per cell
Fermi-level density of states: 16.3 states/eV/cell
formation energy: 0.04 eV per atom

Cell and atoms, written as POSCAR:
```
Ac4La2Y3
1.0
5.409 -0.001 0.001
2.702 5.740 1.601
0.000 0.439 11.366
Y La Ac
3 2 4
Cartesian
5.407 4.089 7.341 Y
2.703 2.088 5.627 Y
0.000 0.000 0.000 Y
2.703 2.285 9.338 La
5.407 3.892 3.630 La
2.703 1.954 1.808 Ac
5.409 0.350 7.578 Ac
5.408 4.223 11.159 Ac
2.702 5.827 5.389 Ac
```

K3YTh2Se6: optimized geometry, PBE.

Results
volume: 363 Å³/cell
total magnetic moment: 0.00 μB per cell
uncorrected formation energy: -1.610 eV/atom
Fermi-level density of states: 7.2 states/eV/cell

Cell and atoms, written as POSCAR:
```
K3YTh2Se6
1.0
7.331 -0.001 0.000
-3.664 6.349 0.000
-1.222 -2.117 7.803
Th K Se Y
2 3 6 1
Cartesian
0.003 4.232 0.000 Th
3.664 2.117 0.000 Th
4.879 0.004 3.902 K
1.222 2.116 3.902 K
-2.435 4.228 3.902 K
3.653 2.139 6.135 Se
2.458 4.257 1.672 Se
-1.208 2.093 1.668 Se
-0.014 -0.025 6.132 Se
0.027 4.233 6.135 Se
2.417 -0.001 1.668 Se
0.000 0.000 0.000 Y
```

InAuIN2: optimized geometry, PBE.

Results
offset from the most stable computed form: 61 meV per atom
volume: 112 Å³/cell
total magnetic moment: 2.72 μB per cell
uncorrected formation energy: 1.569 eV/atom
Fermi-level density of states: 2.8 states/eV/cell

Cell and atoms, written as POSCAR:
```
InAuIN2
1.0
-2.074 -3.611 -0.946
3.766 -2.514 1.337
-1.979 -0.217 5.167
N In Au I
2 1 1 1
Cartesian
0.000 0.000 0.000 N
-0.144 -3.171 2.779 N
1.883 -1.257 0.669 In
-1.037 -1.805 -0.473 Au
-0.990 -0.108 2.584 I
```

CsNb6S8: optimized geometry, PBE.

Results
offset from the most stable computed form: 0 meV per atom
volume: 286 Å³/cell
total magnetic moment: 0.00 μB per cell
uncorrected formation energy: -1.137 eV/atom
Fermi-level density of states: 3.8 states/eV/cell

Cell and atoms, written as POSCAR:
```
CsNb6S8
1.0
4.917 -8.516 0.000
4.917 8.516 0.000
0.000 0.000 3.418
S Nb Cs
8 6 1
Cartesian
7.812 -2.483 0.843 S
4.917 2.839 0.852 S
2.021 2.483 2.575 S
3.161 -0.509 0.843 S
3.777 -5.524 0.843 S
6.672 0.509 2.575 S
4.917 -2.839 2.566 S
6.057 5.524 2.575 S
6.900 3.197 2.559 Nb
2.934 -3.197 0.858 Nb
3.615 4.377 2.559 Nb
5.598 -0.942 0.858 Nb
6.219 -4.377 0.858 Nb
4.236 0.942 2.559 Nb
0.000 0.000 1.709 Cs
```

ScTc3Sn: optimized geometry, PBE.

Results
offset from the most stable computed form: 40 meV per atom
volume: 114 Å³/cell
total magnetic moment: 3.15 μB per cell
Fermi-level density of states: 6.3 states/eV/cell
formation energy: 1.58 eV per atom

Cell and atoms, written as POSCAR:
```
ScTc3Sn
1.0
4.851 0.000 0.000
0.000 4.851 0.000
0.000 0.000 4.851
Sc Tc Sn
1 3 1
Cartesian
2.426 2.426 2.426 Sc
0.000 0.000 2.426 Tc
0.000 2.426 0.000 Tc
2.426 0.000 0.000 Tc
0.000 0.000 0.000 Sn
```

TaAg2SnO: optimized geometry, PBE.

Results
volume: 113 Å³/cell
total magnetic moment: 0.00 μB per cell
uncorrected formation energy: -0.080 eV/atom
Fermi-level density of states: 4.0 states/eV/cell

Cell and atoms, written as POSCAR:
```
TaAg2SnO
1.0
-1.762 4.566 2.367
-3.406 -1.613 0.577
1.693 -1.848 4.825
Sn Ag O Ta
1 2 1 1
Cartesian
-1.738 0.552 3.885 Sn
-0.881 2.283 1.184 Ag
0.846 -0.924 2.412 Ag
-1.703 -0.807 0.288 O
0.000 0.000 0.000 Ta
```

YSc2Se: optimized geometry, PBE.

Results
volume: 95 Å³/cell
total magnetic moment: 0.00 μB per cell
uncorrected formation energy: -0.668 eV/atom
Fermi-level density of states: 4.9 states/eV/cell

Cell and atoms, written as POSCAR:
```
YSc2Se
1.0
-2.522 1.039 2.281
0.273 -3.103 1.715
5.253 2.934 4.473
Y Se Sc
1 1 2
Cartesian
2.705 1.108 5.259 Y
2.385 1.332 2.030 Se
0.368 -0.198 3.269 Sc
0.172 0.096 0.147 Sc
```

NaIn2Pd: optimized geometry, PBE.

Results
volume: 84 Å³/cell
total magnetic moment: 0.00 μB per cell
Fermi-level density of states: 2.0 states/eV/cell
formation energy: -0.17 eV per atom

Cell and atoms, written as POSCAR:
```
NaIn2Pd
1.0
-0.996 -3.890 0.926
2.543 -1.466 -3.420
3.558 -0.255 2.755
Pd Na In
1 1 2
Cartesian
2.552 -2.805 0.131 Pd
-0.498 -1.945 0.463 Na
1.272 -0.733 -1.710 In
1.779 -0.127 1.378 In
```

Ho2ZnGe4Ir3: optimized geometry, PBE.

Results
volume: 182 Å³/cell
total magnetic moment: 0.00 μB per cell
Fermi-level density of states: 4.6 states/eV/cell
formation energy: -0.63 eV per atom

Cell and atoms, written as POSCAR:
```
Ho2ZnGe4Ir3
1.0
-1.044 4.045 0.293
-3.145 -0.617 -2.695
-6.356 -2.215 7.925
Ge Zn Ho Ir
4 1 2 3
Cartesian
-2.095 1.714 -1.201 Ge
-4.586 0.606 5.214 Ge
0.000 0.000 0.000 Ge
-3.864 -1.107 1.510 Ge
-5.273 0.607 2.762 Zn
-6.388 -1.987 4.658 Ho
-2.062 1.486 2.067 Ho
-3.178 -1.107 3.963 Ir
-2.387 -0.592 -0.332 Ir
-6.063 0.091 7.057 Ir
```

Ba2Mn2Rh: optimized geometry, PBE.

Results
offset from the most stable computed form: 0 meV per atom
volume: 115 Å³/cell
total magnetic moment: 1.48 μB per cell
Fermi-level density of states: 4.3 states/eV/cell
formation energy: 0.64 eV per atom

Cell and atoms, written as POSCAR:
```
Ba2Mn2Rh
1.0
3.345 0.000 0.000
0.000 3.345 0.000
1.672 1.672 10.293
Ba Rh Mn
2 1 2
Cartesian
1.672 1.672 2.111 Ba
3.345 3.345 8.182 Ba
0.000 0.000 0.000 Rh
3.345 1.672 5.147 Mn
1.672 3.345 5.147 Mn
```

CaTa2Se: optimized geometry, PBE.

Results
volume: 83 Å³/cell
total magnetic moment: 0.00 μB per cell
uncorrected formation energy: 0.564 eV/atom
Fermi-level density of states: 4.3 states/eV/cell

Cell and atoms, written as POSCAR:
```
CaTa2Se
1.0
5.468 -0.001 0.000
-2.650 4.783 0.000
0.000 0.000 3.171
Se Ta Ca
1 2 1
Cartesian
-1.325 2.391 1.585 Se
1.409 2.391 0.000 Ta
0.000 0.000 0.000 Ta
2.734 0.000 1.585 Ca
```

LaDyZnRh: optimized geometry, PBE.

Results
volume: 92 Å³/cell
total magnetic moment: 0.00 μB per cell
Fermi-level density of states: 2.1 states/eV/cell
formation energy: -0.52 eV per atom

Cell and atoms, written as POSCAR:
```
LaDyZnRh
1.0
5.070 0.000 0.000
2.535 4.391 0.000
2.535 1.464 4.140
Dy Zn Rh La
1 1 1 1
Cartesian
7.606 4.391 3.105 Dy
0.000 0.000 0.000 Zn
5.070 2.927 2.070 Rh
2.535 1.464 1.035 La
```